--- a ---
Here is an optimized crystal structure of CaSb2WI from Alexandria. Energies are from GGA-PBE.

Summary:
N(E_F)   4.58 states/eV/f.u.

Unit cell a=5.2097 b=5.2097 c=5.9973 alpha=90.00 beta=90.00 gamma=90.00
Last column: nearest neighbours and their distance in Å.
Element x y z (fractional)
Ca: 0.0000 0.0000 0.0000  4 I 3.68, 8 Sb 3.97
Sb: 0.0000 0.5000 0.5000  2 W 2.60
Sb: 0.5000 0.0000 0.5000  2 W 2.60
W: 0.5000 0.5000 0.5000  4 Sb 2.60
I: 0.5000 0.5000 0.0000  2 W 3.00



--- b ---
Here is an optimized crystal structure of CaSb2WI from Alexandria. Energies are from GGA-PBE.

Summary:
N(E_F)   8.27 states/eV/f.u.

Unit cell a=5.8125 b=5.8125 c=5.6599 alpha=90.00 beta=90.00 gamma=90.00
Last column: nearest neighbours and their distance in Å.
Element x y z (fractional)
Ca: 0.0000 0.0000 0.0000  2 I 2.83, 4 Sb 2.91
Sb: 0.0000 0.5000 0.0000  2 Ca 2.91
Sb: 0.5000 0.0000 0.0000  2 Ca 2.91
W: 0.5000 0.5000 0.5000  8 Sb 4.06, 4 I 4.11
I: 0.0000 0.0000 0.5000  2 Ca 2.83



Best to worst by energy: a, b.



--- a ---
Here is an optimized crystal structure of CaZnSbI2 from Alexandria. Energies are from GGA-PBE.

Summary:
N(E_F)   4.23 states/eV/f.u.

Unit cell a=5.6243 b=5.6243 c=5.3670 alpha=90.00 beta=90.00 gamma=90.00
Last column: nearest neighbours and their distance in Å.
Element x y z (fractional)
Ca: 0.0000 0.0000 0.0000  8 I 3.89, 4 Sb 3.98
Zn: 0.5000 0.5000 0.5000  2 Sb 2.68, 4 I 2.81
Sb: 0.5000 0.5000 0.0000  2 Zn 2.68
I: 0.0000 0.5000 0.5000  2 Zn 2.81
I: 0.5000 0.0000 0.5000  2 Zn 2.81



--- b ---
Here is an optimized crystal structure of CaZnSbI2 from Alexandria. Energies are from GGA-PBE.

Summary:
N(E_F)   3.57 states/eV/f.u.

Unit cell a=6.0185 b=6.0185 c=6.4402 alpha=90.00 beta=90.00 gamma=90.00
Last column: nearest neighbours and their distance in Å.
Element x y z (fractional)
Ca: 0.0000 0.0000 0.0000  4 I 3.01, 2 Sb 3.22
Zn: 0.5000 0.5000 0.5000  4 Sb 4.26, 8 I 4.41
Sb: 0.0000 0.0000 0.5000  2 Ca 3.22
I: 0.0000 0.5000 0.0000  2 Ca 3.01
I: 0.5000 0.0000 0.0000  2 Ca 3.01



Best to worst by energy: a, b.



--- a ---
Here is an optimized crystal structure of Ca3ScI from Alexandria. Energies are from GGA-PBE.

Summary:
N(E_F)   10.52 states/eV/f.u.

Unit cell a=5.8952 b=5.8952 c=5.8952 alpha=90.00 beta=90.00 gamma=90.00
Last column: nearest neighbours and their distance in Å.
Element x y z (fractional)
Ca: 0.0000 0.0000 0.5000  2 I 2.95
Ca: 0.0000 0.5000 0.0000  2 I 2.95
Ca: 0.5000 0.0000 0.0000  2 I 2.95
Sc: 0.5000 0.5000 0.5000  12 Ca 4.17
I: 0.0000 0.0000 0.0000  6 Ca 2.95



--- b ---
Here is an optimized crystal structure of Ca3ScI from Alexandria. Energies are from GGA-PBE.

Summary:
N(E_F)   4.36 states/eV/f.u.

Unit cell a=6.1433 b=6.1433 c=6.1433 alpha=90.00 beta=90.00 gamma=90.00
Last column: nearest neighbours and their distance in Å.
Element x y z (fractional)
Ca: 0.0000 0.0000 0.5000  2 Sc 3.07
Ca: 0.0000 0.5000 0.0000  2 Sc 3.07
Ca: 0.5000 0.0000 0.0000  2 Sc 3.07
Sc: 0.0000 0.0000 0.0000  6 Ca 3.07
I: 0.5000 0.5000 0.5000  12 Ca 4.34



Best to worst by energy: a, b.



--- a ---
Here is an optimized crystal structure of Ca2Se2I from Alexandria. Energies are from GGA-PBE.

Summary:
N(E_F)   4.80 states/eV/f.u.

Unit cell a=8.4281 b=8.4281 c=3.8204 alpha=90.00 beta=90.00 gamma=90.00
Last column: nearest neighbours and their distance in Å.
Element x y z (fractional)
Ca: 0.1548 0.3452 0.0000  6 Se 3.06-3.17, 2 I 3.19
Ca: 0.3452 0.8452 0.0000  6 Se 3.06-3.17, 2 I 3.19
Ca: 0.6548 0.1548 0.0000  6 Se 3.06-3.17, 2 I 3.19
Ca: 0.8452 0.6548 0.0000  6 Se 3.06-3.17, 2 I 3.19
Se: 0.1451 0.6451 0.5000  6 Ca 3.06-3.17
Se: 0.3549 0.1451 0.5000  6 Ca 3.06-3.17
Se: 0.6451 0.8549 0.5000  6 Ca 3.06-3.17
Se: 0.8549 0.3549 0.5000  6 Ca 3.06-3.17
I: 0.0000 0.0000 0.0000  4 Ca 3.19
I: 0.5000 0.5000 0.0000  4 Ca 3.19



--- b ---
Here is an optimized crystal structure of Ca2Se2I from Alexandria. Energies are from GGA-PBE.

Summary:
N(E_F)   2.64 states/eV/f.u.

Unit cell a=8.3981 b=8.3981 c=8.3981 alpha=147.45 beta=147.45 gamma=46.71
Last column: nearest neighbours and their distance in Å.
Element x y z (fractional)
Ca: 0.1453 0.1453 0.0000  4 Se 2.85
Ca: 0.8547 0.8547 0.0000  4 Se 2.85
Se: 0.2500 0.7500 0.5000  4 Ca 2.85
Se: 0.7500 0.2500 0.5000  4 Ca 2.85
I: 0.5000 0.5000 0.0000  8 Ca 4.01



Best to worst by energy: a, b.



--- a ---
Here is an optimized crystal structure of CaTeSeI2 from Alexandria. Energies are from GGA-PBE.

Summary:
N(E_F)   5.27 states/eV/f.u.

Unit cell a=6.0916 b=6.0916 c=6.2327 alpha=90.00 beta=90.00 gamma=90.00
Last column: nearest neighbours and their distance in Å.
Element x y z (fractional)
Ca: 0.0000 0.0000 0.0000  4 I 3.05, 2 Te 3.12
Te: 0.0000 0.0000 0.5000  2 Ca 3.12
Se: 0.5000 0.5000 0.5000  4 Te 4.31, 8 I 4.36
I: 0.0000 0.5000 0.0000  2 Ca 3.05
I: 0.5000 0.0000 0.0000  2 Ca 3.05



--- b ---
Here is an optimized crystal structure of CaTeSeI2 from Alexandria. Energies are from GGA-PBE.

Summary:
N(E_F)   5.08 states/eV/f.u.

Unit cell a=5.7223 b=5.7223 c=5.6473 alpha=90.00 beta=90.00 gamma=90.00
Last column: nearest neighbours and their distance in Å.
Element x y z (fractional)
Ca: 0.0000 0.0000 0.0000  8 I 4.02, 4 Te 4.05
Te: 0.5000 0.5000 0.0000  2 Se 2.82
Se: 0.5000 0.5000 0.5000  2 Te 2.82, 4 I 2.86
I: 0.0000 0.5000 0.5000  2 Se 2.86
I: 0.5000 0.0000 0.5000  2 Se 2.86



Best to worst by energy: b, a.



--- a ---
Here is an optimized crystal structure of CaSi3I from Alexandria. Energies are from GGA-PBE.

Summary:
N(E_F)   5.56 states/eV/f.u.

Unit cell a=5.5541 b=5.5541 c=5.5541 alpha=90.00 beta=90.00 gamma=90.00
Last column: nearest neighbours and their distance in Å.
Element x y z (fractional)
Ca: 0.0000 0.0000 0.0000  6 Si 2.78
Si: 0.0000 0.0000 0.5000  2 Ca 2.78
Si: 0.0000 0.5000 0.0000  2 Ca 2.78
Si: 0.5000 0.0000 0.0000  2 Ca 2.78
I: 0.5000 0.5000 0.5000  12 Si 3.93



--- b ---
Here is an optimized crystal structure of CaSi3I from Alexandria. Energies are from GGA-PBE.

Summary:
N(E_F)   4.24 states/eV/f.u.

Unit cell a=5.3189 b=5.3189 c=5.3189 alpha=90.00 beta=90.00 gamma=90.00
Last column: nearest neighbours and their distance in Å.
Element x y z (fractional)
Ca: 0.0000 0.0000 0.0000  12 Si 3.76
Si: 0.0000 0.5000 0.5000  2 I 2.66
Si: 0.5000 0.0000 0.5000  2 I 2.66
Si: 0.5000 0.5000 0.0000  2 I 2.66
I: 0.5000 0.5000 0.5000  6 Si 2.66



Best to worst by energy: b, a.



--- a ---
Here is an optimized crystal structure of CaSiI3 from Alexandria. Energies are from GGA-PBE.

Summary:
N(E_F)   3.02 states/eV/f.u.

Unit cell a=6.0398 b=6.0398 c=6.0398 alpha=90.00 beta=90.00 gamma=90.00
Last column: nearest neighbours and their distance in Å.
Element x y z (fractional)
Ca: 0.0000 0.0000 0.0000  6 I 3.02
Si: 0.5000 0.5000 0.5000  12 I 4.27
I: 0.0000 0.0000 0.5000  2 Ca 3.02
I: 0.0000 0.5000 0.0000  2 Ca 3.02
I: 0.5000 0.0000 0.0000  2 Ca 3.02



--- b ---
Here is an optimized crystal structure of CaSiI3 from Alexandria. Energies are from GGA-PBE.

Summary:
N(E_F)   2.95 states/eV/f.u.

Unit cell a=5.6761 b=5.6761 c=5.6761 alpha=90.00 beta=90.00 gamma=90.00
Last column: nearest neighbours and their distance in Å.
Element x y z (fractional)
Ca: 0.0000 0.0000 0.0000  12 I 4.01
Si: 0.5000 0.5000 0.5000  6 I 2.84
I: 0.0000 0.5000 0.5000  2 Si 2.84
I: 0.5000 0.0000 0.5000  2 Si 2.84
I: 0.5000 0.5000 0.0000  2 Si 2.84



Best to worst by energy: b, a.



--- a ---
Here is an optimized crystal structure of Ca2SnI from Alexandria. Energies are from GGA-PBE.

Summary:
N(E_F)   4.85 states/eV/f.u.

Unit cell a=7.2107 b=7.2107 c=7.2107 alpha=108.77 beta=108.77 gamma=110.87
Last column: nearest neighbours and their distance in Å.
Element x y z (fractional)
Ca: 0.1193 0.6250 0.9943  2 Sn 3.11, 2 I 3.17
Ca: 0.3750 0.3693 0.4943  2 Sn 3.11, 2 I 3.17
Ca: 0.6307 0.1250 0.0057  2 Sn 3.11, 2 I 3.17
Ca: 0.8750 0.8807 0.5057  2 Sn 3.11, 2 I 3.17
Sn: 0.0000 0.0000 0.0000  4 Ca 3.11
Sn: 0.7500 0.2500 0.5000  4 Ca 3.11
I: 0.2500 0.7500 0.5000  4 Ca 3.17
I: 0.5000 0.5000 0.0000  4 Ca 3.17



--- b ---
Here is an optimized crystal structure of Ca2SnI from Alexandria. Energies are from GGA-PBE.

Summary:
N(E_F)   1.51 states/eV/f.u.

Unit cell a=8.8470 b=8.8470 c=8.8470 alpha=28.57 beta=28.57 gamma=28.57
Last column: nearest neighbours and their distance in Å.
Element x y z (fractional)
Ca: 0.0000 0.0000 0.0000  3 Sn 3.14
Ca: 0.1863 0.1863 0.1863  3 Sn 3.14, 3 I 3.39
Sn: 0.5932 0.5932 0.5932  6 Ca 3.14
I: 0.7636 0.7636 0.7636  6 Ca 3.39-3.53



--- c ---
Here is an optimized crystal structure of Ca2SnI from Alexandria. Energies are from GGA-PBE.

Summary:
N(E_F)   6.11 states/eV/f.u.

Unit cell a=5.6191 b=5.6191 c=5.6191 alpha=60.00 beta=60.00 gamma=60.00
Last column: nearest neighbours and their distance in Å.
Element x y z (fractional)
Ca: 0.2500 0.2500 0.2500  4 I 3.44, 4 Sn 3.44
Ca: 0.7500 0.7500 0.7500  4 I 3.44, 4 Sn 3.44
Sn: 0.0000 0.0000 0.0000  8 Ca 3.44
I: 0.5000 0.5000 0.5000  8 Ca 3.44



Best to worst by energy: b, c, a.